Entry from Alexandria via LeMat-Bulk: a relaxed Zr2Se crystal (PBE-GGA).

Cell and atoms, written as POSCAR:
```
Zr2Se
1.0
0.100 5.293 5.105
-0.742 -7.001 -2.127
4.840 -0.707 0.637
Zr Se
4 2
Cartesian
0.526 -6.340 -1.475
3.673 3.925 5.090
3.102 -4.419 0.181
1.097 2.005 3.434
0.809 -2.206 0.957
3.390 -0.209 2.658
```

- Uncorrected energy: -7.4484 eV per atom
- Space-group type: No. 63
- Raw formation energy: -0.588 eV/atom
- DOS(E_F): 0.694 states/eV per atom